(1)
# BaCdTe2 (PBE-GGA, relaxed)
data_BaCdTe2
_chemical_formula_sum 'Ba1 Cd1 Te2'
_symmetry_space_group_name_H-M 'P 1'
_symmetry_Int_Tables_number 1
_cell_length_a 8.341
_cell_length_b 8.341
_cell_length_c 8.341
_cell_angle_alpha 150.91
_cell_angle_beta 149.11
_cell_angle_gamma 42.95
loop_
_symmetry_equiv_pos_as_xyz
'x,y,z'
loop_
_atom_site_label
_atom_site_type_symbol
_atom_site_fract_x
_atom_site_fract_y
_atom_site_fract_z
_atom_site_occupancy
Te1 Te 0.221 0.721 0.500 1
Te2 Te 0.940 0.940 0.000 1
Cd1 Cd 0.795 0.295 0.500 1
Ba1 Ba 0.545 0.545 0.000 1
# **Density of states at the Fermi level**: 1.5 states/eV/f.u.
# **Final energy**: -12.40 eV per cell
# **Calculated density**: 5.8 g/cm³



(2)
# ReHgAs2 (PBE-GGA, relaxed)
data_ReHgAs2
_chemical_formula_sum 'Re1 Hg1 As2'
_symmetry_space_group_name_H-M 'P 1'
_symmetry_Int_Tables_number 1
_cell_length_a 2.960
_cell_length_b 2.960
_cell_length_c 10.706
_cell_angle_alpha 90.00
_cell_angle_beta 90.00
_cell_angle_gamma 117.27
loop_
_symmetry_equiv_pos_as_xyz
'x,y,z'
loop_
_atom_site_label
_atom_site_type_symbol
_atom_site_fract_x
_atom_site_fract_y
_atom_site_fract_z
_atom_site_occupancy
Re1 Re 0.500 0.500 0.750 1
Hg1 Hg 0.500 0.500 0.250 1
As1 As 0.000 0.000 0.560 1
As2 As 0.000 0.000 0.940 1
# **Density of states at the Fermi level**: 2.7 states/eV/f.u.
# **Calculated density**: 10.7 g/cm³
# **Energy of formation**: 330 meV per atom



(3)
# LaMnTl2 (PBE-GGA, relaxed)
data_LaMnTl2
_chemical_formula_sum 'La1 Mn1 Tl2'
_symmetry_space_group_name_H-M 'P 1'
_symmetry_Int_Tables_number 1
_cell_length_a 6.219
_cell_length_b 6.219
_cell_length_c 6.219
_cell_angle_alpha 146.17
_cell_angle_beta 127.64
_cell_angle_gamma 63.81
loop_
_symmetry_equiv_pos_as_xyz
'x,y,z'
loop_
_atom_site_label
_atom_site_type_symbol
_atom_site_fract_x
_atom_site_fract_y
_atom_site_fract_z
_atom_site_occupancy
Tl1 Tl 0.030 0.030 0.000 1
Tl2 Tl 0.470 0.470 0.000 1
La1 La 0.750 0.250 0.500 1
Mn1 Mn 0.250 0.750 0.500 1
# **Density of states at the Fermi level**: 3.2 states/eV/f.u.
# **Calculated density**: 9.5 g/cm³
# **Energy of formation**: 92 meV per atom



(4)
# TlNF2 (PBE-GGA, relaxed)
data_TlNF2
_chemical_formula_sum 'Tl1 N1 F2'
_symmetry_space_group_name_H-M 'P 1'
_symmetry_Int_Tables_number 1
_cell_length_a 7.171
_cell_length_b 7.171
_cell_length_c 7.171
_cell_angle_alpha 27.18
_cell_angle_beta 27.18
_cell_angle_gamma 27.18
loop_
_symmetry_equiv_pos_as_xyz
'x,y,z'
loop_
_atom_site_label
_atom_site_type_symbol
_atom_site_fract_x
_atom_site_fract_y
_atom_site_fract_z
_atom_site_occupancy
F1 F 0.117 0.117 0.117 1
F2 F 0.883 0.883 0.883 1
N1 N 0.500 0.500 0.500 1
Tl1 Tl 0.000 0.000 0.000 1
# **Energy above the lowest structure with this stoichiometry**: 675 meV/atom
# **Density of states at the Fermi level**: 4.6 states/eV/f.u.
# **Calculated density**: 6.3 g/cm³



(5)
# InRu2Se (PBE-GGA, relaxed)
data_InRu2Se
_chemical_formula_sum 'In1 Ru2 Se1'
_symmetry_space_group_name_H-M 'P 1'
_symmetry_Int_Tables_number 1
_cell_length_a 6.215
_cell_length_b 6.215
_cell_length_c 6.215
_cell_angle_alpha 150.77
_cell_angle_beta 143.69
_cell_angle_gamma 47.27
loop_
_symmetry_equiv_pos_as_xyz
'x,y,z'
loop_
_atom_site_label
_atom_site_type_symbol
_atom_site_fract_x
_atom_site_fract_y
_atom_site_fract_z
_atom_site_occupancy
In1 In 0.292 0.792 0.500 1
Se1 Se 0.534 0.534 0.000 1
Ru1 Ru 0.697 0.197 0.500 1
Ru2 Ru 0.976 0.976 0.000 1
# **Energy above the lowest structure with this stoichiometry**: 54 meV/atom
# **Density of states at the Fermi level**: 3.4 states/eV/f.u.
# **Calculated density**: 9.5 g/cm³



(6)
# CaSbPb2 (PBE-GGA, relaxed)
data_CaSbPb2
_chemical_formula_sum 'Ca1 Sb1 Pb2'
_symmetry_space_group_name_H-M 'P 1'
_symmetry_Int_Tables_number 1
_cell_length_a 4.255
_cell_length_b 4.255
_cell_length_c 6.703
_cell_angle_alpha 90.00
_cell_angle_beta 90.00
_cell_angle_gamma 90.00
loop_
_symmetry_equiv_pos_as_xyz
'x,y,z'
loop_
_atom_site_label
_atom_site_type_symbol
_atom_site_fract_x
_atom_site_fract_y
_atom_site_fract_z
_atom_site_occupancy
Ca1 Ca 0.500 0.500 0.750 1
Pb1 Pb 0.000 0.000 0.487 1
Pb2 Pb 0.000 0.000 0.013 1
Sb1 Sb 0.500 0.500 0.250 1
# **Density of states at the Fermi level**: 2.3 states/eV/f.u.
# **Final energy**: -14.42 eV per cell
# **Calculated density**: 7.9 g/cm³